DFT (PBE-GGA) results for a relaxed structure of Cu2SnTeS.

a b c (Å): 4.8373 4.8373 5.3246
angles (deg): 90.00 90.00 90.00
Closest atoms and distances in Å follow each position.
Positions (direct):
Cu (0.0000, 0.5000, 0.0000)  2 Sn 2.42
Cu (0.5000, 0.0000, 0.0000)  2 Sn 2.42
Sn (0.0000, 0.0000, 0.0000)  4 Cu 2.42, 2 S 2.66
Te (0.5000, 0.5000, 0.5000)  4 S 3.42, 8 Cu 3.60
S (0.0000, 0.0000, 0.5000)  2 Sn 2.66

Output
Magnetic moment   0.00 μB/f.u.
Volume   24.918 Å³ per atom
Raw formation energy   759 meV per atom
E   -3.134 eV/atom
D(E_F)   0.523 states/eV/atom
SG   P4/mmm